[1]
Density functional theory data (PBE-GGA) for ZrZn2Pb2 after structural relaxation.

Output
Energy relative to the lowest polymorph listed for this composition, meV/atom: 99
Raw total energy, eV per cell: -35.0
DFT formation energy, kJ/mol of formula units: 100

Cell lengths 3.7550, 3.7550, 16.7628 Å; angles 90.00, 90.00, 90.00 degrees
Space group I4/mmm (No. 139)
Asymmetric unit:
Zr (0.0000, 0.0000, 0.0000)
Zn (0.0000, 0.5000, 0.2500)
Pb (0.0000, 0.0000, 0.3978)



[2]
Density functional theory data (PBE-GGA) for Li2ZrTiSe4 after structural relaxation.

Output
Raw total energy, eV per cell: -44.3
Formation energy (no corrections), eV/f.u.: -10.1

Cell lengths 6.4659, 3.7298, 6.8952 Å; angles 90.00, 108.13, 90.00 degrees
Space group P2/m (No. 10)
Asymmetric unit:
Li (0.0000, 0.0000, 0.0000)
Li (0.5000, 0.5000, 0.0000)
Zr (0.0000, 0.5000, 0.5000)
Ti (0.5000, 0.0000, 0.5000)
Se (0.2577, 0.0000, 0.7486)
Se (0.2612, 0.5000, 0.2580)



[3]
Density functional theory data (PBE-GGA) for LaPuAl2 after structural relaxation.

Output
Energy relative to the lowest polymorph listed for this composition, meV/atom: 0
Raw total energy, eV per cell: -27.6
DFT formation energy, kJ/mol of formula units: -79

Cell lengths 3.2437, 3.2437, 9.1724 Å; angles 90.00, 90.00, 90.00 degrees
Space group P4/mmm (No. 123)
Asymmetric unit:
La (0.0000, 0.0000, 0.0000)
Pu (0.0000, 0.0000, 0.5000)
Al (0.5000, 0.5000, 0.2618)